VASP calculation (GGA-PBE) on a relaxed Pm3DyTh3Se8 crystal.

Values from the calculation:
density of states at the Fermi level: 12.0 states/eV per cell
calculated volume: 412.3 Å³ per cell
raw formation energy: -1.740 eV/atom

```
15
Lattice="-0.4832 2.6488 -7.8897 -3.9430 -6.9738 2.3044 -2.7779 7.4349 2.6662" Properties=species:S:1:pos:R:3 pbc="T T T"
Se -4.9971 -3.1233 -2.9524
Dy -1.3889 3.7174 1.3331
Se -4.7546 -4.4523 1.0062
Pm -1.9715 -3.4869 1.1522
Se -4.1722 2.7583 1.1815
Se -2.4495 7.5622 -3.9252
Se -2.2070 6.2332 0.0333
Se -4.4374 4.0894 -2.7596
Se -2.7667 -0.9795 -0.1594
Th -3.3605 0.2305 2.4853
Pm 0.0000 0.0000 0.0000
Pm -2.2131 -2.1625 -2.7926
Th -3.6020 1.5549 -1.4595
Th -1.6305 5.0418 -2.6117
Se -3.0319 0.3516 -4.1006
```

=====

VASP calculation (GGA-PBE) on a relaxed NiSb2Au crystal.

Values from the calculation:
density of states at the Fermi level: 5.2 states/eV per cell
calculated volume: 202.6 Å³ per cell
raw formation energy: 0.122 eV/atom

```
8
Lattice="-6.1908 -1.2285 -1.4973 0.6425 -6.0334 2.2940 -4.1307 -2.1156 4.7638" Properties=species:S:1:pos:R:3 pbc="T T T"
Sb -4.6087 -2.0086 0.5934
Sb -1.6179 -4.4956 2.3860
Sb -7.9749 -7.7334 4.1911
Ni -2.7741 -3.6309 0.3983
Sb -5.1565 -4.5174 3.9505
Ni -3.1312 -5.8900 3.7281
Au -6.5478 -3.4875 1.8324
Au 0.0000 0.0000 0.0000
```

=====

VASP calculation (GGA-PBE) on a relaxed Cs2AgHgS crystal.

Values from the calculation:
density of states at the Fermi level: 2.3 states/eV per cell
calculated volume: 229.8 Å³ per cell
raw formation energy: -0.425 eV/atom

```
5
Lattice="-4.7167 3.5566 3.5805 -3.9453 0.4575 -5.6517 -2.1944 -4.1168 1.1986" Properties=species:S:1:pos:R:3 pbc="T T T"
Hg -5.4282 -0.0513 -0.4363
Cs -2.3584 1.7783 1.7903
S 0.0000 0.0000 0.0000
Cs -1.9727 0.2288 -2.8259
Ag -1.0972 -2.0584 0.5993
```

=====

VASP calculation (GGA-PBE) on a relaxed Ag3AsP4 crystal.

Values from the calculation:
density of states at the Fermi level: 5.2 states/eV per cell
calculated volume: 320.5 Å³ per cell
energy above the most stable polymorph in this dataset: 0 meV per atom
energy of formation: 0.230 eV/atom

```
16
Lattice="-3.2900 5.8169 1.4724 -5.9782 -3.3219 -0.2346 0.5153 -1.3991 6.6787" Properties=species:S:1:pos:R:3 pbc="T T T"
P -7.0150 0.8783 6.3447
Ag -6.1287 0.4170 0.5603
P -3.7214 3.7246 2.4595
Ag -0.5648 0.7547 3.7075
Ag -2.8603 -2.0107 1.5524
Ag -2.6026 -2.7103 4.8918
As -4.3764 0.5480 3.9583
P -6.3190 1.3211 2.8780
Ag -2.2099 3.6631 4.4437
P -2.6386 0.3304 2.3865
P -1.4272 -0.6259 5.5985
P -5.3421 -1.7852 1.4304
As 0.0000 0.0000 0.0000
Ag -3.1396 2.0780 0.6776
P -3.7404 2.0847 5.6233
P -4.8078 -1.5443 4.9454
```